No. 1
DFT (GGA-PBE) results for a geometry-optimized Tb3Pm4Ir4 structure.

Lattice parameters (Å, degrees): 3.840 8.746 9.519 117.35 101.64 90.00
Element x y z (fractional)
Pm (0.666, 0.854, 0.332)
Pm (0.334, 0.523, 0.668)
Pm (0.334, 0.146, 0.668)
Pm (0.666, 0.477, 0.332)
Tb (0.098, 0.098, 0.195)
Tb (0.000, 0.500, 0.000)
Tb (0.902, 0.902, 0.805)
Ir (0.500, 0.784, 0.000)
Ir (0.500, 0.216, 0.000)
Ir (0.742, 0.242, 0.483)
Ir (0.258, 0.758, 0.517)

Computed properties:
The density of states at the Fermi level is 7.6 states/eV/f.u. Its calculated volume is 276.55 Å³/cell. The calculation puts the size of the total moment at 0.0 μB/cell. As for the energy: -6.75 eV per atom. For the calculated density, the calculation gives 10.96 g/cm3.

***

No. 2
DFT (GGA-PBE) results for a geometry-optimized Tb4Pm3Ir4 structure.

Lattice parameters (Å, degrees): 3.940 8.703 9.341 117.76 102.17 90.00
Element x y z (fractional)
Pm (0.101, 0.101, 0.201)
Pm (0.000, 0.500, 0.000)
Pm (0.899, 0.899, 0.799)
Tb (0.668, 0.477, 0.335)
Tb (0.332, 0.142, 0.665)
Tb (0.332, 0.523, 0.665)
Tb (0.668, 0.858, 0.335)
Ir (0.500, 0.217, 0.000)
Ir (0.500, 0.783, 0.000)
Ir (0.246, 0.746, 0.492)
Ir (0.754, 0.254, 0.508)

Computed properties:
The density of states at the Fermi level is 7.0 states/eV/f.u. Its calculated volume is 275.26 Å³/cell. The calculation puts the size of the total moment at 0.0 μB/cell. As for the energy: -6.81 eV per atom. For the calculated density, the calculation gives 11.10 g/cm3.

***

No. 3
DFT (GGA-PBE) results for a geometry-optimized TbPmIr structure.

Lattice parameters (Å, degrees): 6.274 4.161 4.161 120.00 90.00 90.00
Element x y z (fractional)
Ir (0.005, 0.000, 0.000)
Pm (0.769, 0.667, 0.333)
Tb (0.226, 0.333, 0.667)

Computed properties:
The density of states at the Fermi level is 2.0 states/eV/f.u. For the distance to the lowest polymorph of the same formula, the calculation gives 0.090 eV per atom. Its calculated volume is 94.07 Å³/cell. The calculation puts the size of the total moment at 0.0 μB/cell. For the calculated density, the calculation gives 8.76 g/cm3.

***

Repeat the first record exactly.
DFT (GGA-PBE) results for a geometry-optimized Tb3Pm4Ir4 structure.

Lattice parameters (Å, degrees): 3.840 8.746 9.519 117.35 101.64 90.00
Element x y z (fractional)
Pm (0.666, 0.854, 0.332)
Pm (0.334, 0.523, 0.668)
Pm (0.334, 0.146, 0.668)
Pm (0.666, 0.477, 0.332)
Tb (0.098, 0.098, 0.195)
Tb (0.000, 0.500, 0.000)
Tb (0.902, 0.902, 0.805)
Ir (0.500, 0.784, 0.000)
Ir (0.500, 0.216, 0.000)
Ir (0.742, 0.242, 0.483)
Ir (0.258, 0.758, 0.517)

Computed properties:
The density of states at the Fermi level is 7.6 states/eV/f.u. Its calculated volume is 276.55 Å³/cell. The calculation puts the size of the total moment at 0.0 μB/cell. As for the energy: -6.75 eV per atom. For the calculated density, the calculation gives 10.96 g/cm3.